TbNd2Cd3 | PBE | optimized geometry

## Properties
**VASP energy**: -3.1348 eV per atom
**Energy of formation from the pure elements**: -0.3163 eV/atom

a b c (Å): 5.407 5.407 13.255
angles (deg): 90.00 90.00 120.00
Site moments in Bohr magnetons follow the coordinates.
Element x y z (fractional)
Cd (0.667, 0.333, 0.086)  0.02
Cd (0.667, 0.333, 0.582)  0.01
Cd (0.333, 0.667, 0.914)  0.02
Cd (0.333, 0.667, 0.418)  0.01
Cd (0.000, 0.000, 0.747)  0.01
Cd (0.000, 0.000, 0.253)  0.01
Nd (0.333, 0.667, 0.169)  0.19
Nd (0.000, 0.000, 0.000)  0.21
Nd (0.667, 0.333, 0.831)  0.19
Nd (0.000, 0.000, 0.500)  0.17
Tb (0.667, 0.333, 0.333)  0.23
Tb (0.333, 0.667, 0.667)  0.23